# 1
## CrHgIr2Pd (PBE)

Data for an optimized crystal structure of CrHgIr2Pd.

The space group is P4/mmm (No. 123) and the conventional cell measures 4.501, 4.501 and 4.651 Å, with angles of 90.00, 90.00 and 90.00 degrees. The asymmetric unit holds Cr at (0.000, 0.000, 0.000), Hg at (0.500, 0.500, 0.500), Ir at (0.000, 0.500, 0.000) and Pd at (0.000, 0.000, 0.500).

Its density of states at the Fermi level is 5.0 states/eV/f.u. The value obtained for the total DFT energy (no corrections) is -5.5119 eV per atom. The energy of formation from the pure elements comes out at 1.06 eV per atom.



# 2
## AcYTlGa (PBE)

Data for an optimized crystal structure of AcYTlGa.

The space group is F-43m (No. 216) and the conventional cell measures 7.769, 7.769 and 7.769 Å, with angles of 90.00, 90.00 and 90.00 degrees. The asymmetric unit holds Ac at (0.000, 0.000, 0.000), Y at (0.000, 0.000, 0.500), Tl at (0.250, 0.250, 0.750) and Ga at (0.250, 0.250, 0.250).

Its density of states at the Fermi level is 2.2 states/eV/f.u. The value obtained for the total DFT energy (no corrections) is -4.3744 eV per atom. The energy of formation from the pure elements comes out at -0.38 eV per atom.



# 3
## AcGe6Pt12 (PBE)

Data for an optimized crystal structure of AcGe6Pt12.

The space group is R-3m (No. 166, hexagonal axes) and the conventional cell measures 11.6758, 11.6758 and 8.5627 Å, with angles of 90.00, 90.00 and 120.00 degrees. The asymmetric unit holds Ac at (0.0000, 0.0000, 0.0000), Ge at (0.0467, 0.5234, 0.2636), Pt at (0.0000, 0.3760, 0.5000) and Pt at (0.0815, 0.1631, 0.3247).

Its density of states at the Fermi level is 10.2 states/eV/f.u. The value obtained for the total DFT energy (no corrections) is -5.9332 eV per atom. The energy of formation from the pure elements comes out at -0.44 eV per atom.



# 4
## CaLa2ScPt (PBE)

Data for an optimized crystal structure of CaLa2ScPt.

The space group is P4/mmm (No. 123) and the conventional cell measures 5.746, 5.746 and 5.332 Å, with angles of 90.00, 90.00 and 90.00 degrees. The asymmetric unit holds Ca at (0.000, 0.000, 0.000), La at (0.000, 0.500, 0.500), Sc at (0.500, 0.500, 0.000) and Pt at (0.500, 0.500, 0.500).

Its density of states at the Fermi level is 8.9 states/eV/f.u. The value obtained for the total DFT energy (no corrections) is -5.2027 eV per atom. The energy of formation from the pure elements comes out at -0.36 eV per atom.



# 5
## Cs3Se4S2 (PBE)

Data for an optimized crystal structure of Cs3Se4S2.

The space group is C2/c (No. 15) and the conventional cell measures 17.228, 12.855 and 6.412 Å, with angles of 90.00, 91.25 and 90.00 degrees. The asymmetric unit holds Cs at (0.000, 0.107, 0.250), Cs at (0.177, 0.382, 0.585), Se at (0.070, 0.352, 0.075), Se at (0.145, 0.114, 0.804) and S at (0.164, 0.234, 0.051).

Its density of states at the Fermi level is 3.7 states/eV/f.u. The value obtained for the total DFT energy (no corrections) is -3.3813 eV per atom.



# 6
## CuSeS2N (PBE)

Data for an optimized crystal structure of CuSeS2N.

The space group is P4/mmm (No. 123) and the conventional cell measures 4.712, 4.712 and 3.640 Å, with angles of 90.00, 90.00 and 90.00 degrees. The asymmetric unit holds Cu at (0.000, 0.000, 0.000), Se at (0.500, 0.500, 0.500), S at (0.000, 0.500, 0.000) and N at (0.000, 0.000, 0.500).

Its density of states at the Fermi level is 3.6 states/eV/f.u. The value obtained for the total DFT energy (no corrections) is -3.7279 eV per atom.



# 7
## Pm3Nd8Dy2 (PBE)

Data for an optimized crystal structure of Pm3Nd8Dy2.

The space group is C2/m (No. 12) and the conventional cell measures 20.554, 7.749 and 5.818 Å, with angles of 90.00, 90.05 and 90.00 degrees. The asymmetric unit holds Pm at (0.000, 0.000, 0.000), Pm at (0.000, 0.287, 0.500), Nd at (0.107, 0.292, 0.000), Nd at (0.134, 0.000, 0.499), Nd at (0.174, 0.500, 0.502) and Dy at (0.241, 0.000, 0.998).

Its density of states at the Fermi level is 19.4 states/eV/f.u. The value obtained for the total DFT energy (no corrections) is -4.5291 eV per atom. The energy of formation from the pure elements comes out at 0.21 eV per atom.



# 8
## RbLa2Sn (PBE)

Data for an optimized crystal structure of RbLa2Sn.

The space group is I-42d (No. 122) and the conventional cell measures 9.501, 9.501 and 7.342 Å, with angles of 90.00, 90.00 and 90.00 degrees. The asymmetric unit holds Rb at (0.000, 0.000, 0.000), La at (0.203, 0.750, 0.625) and Sn at (0.000, 0.000, 0.500).

Its density of states at the Fermi level is 4.9 states/eV/f.u. The value obtained for the total DFT energy (no corrections) is -3.6008 eV per atom. The energy of formation from the pure elements comes out at 0.11 eV per atom.



# 9
## PmYAgRh (PBE)

Data for an optimized crystal structure of PmYAgRh.

The space group is F-43m (No. 216) and the conventional cell measures 7.155, 7.155 and 7.155 Å, with angles of 90.00, 90.00 and 90.00 degrees. The asymmetric unit holds Pm at (0.000, 0.000, 0.000), Y at (0.000, 0.000, 0.500), Ag at (0.250, 0.250, 0.250) and Rh at (0.250, 0.250, 0.750).

Its density of states at the Fermi level is 3.7 states/eV/f.u. The value obtained for the total DFT energy (no corrections) is -5.8646 eV per atom. The energy of formation from the pure elements comes out at -0.51 eV per atom.



# 10
## Ta2MnGeH (PBE)

Data for an optimized crystal structure of Ta2MnGeH.

The space group is P4/mmm (No. 123) and the conventional cell measures 4.122, 4.122 and 3.821 Å, with angles of 90.00, 90.00 and 90.00 degrees. The asymmetric unit holds Ta at (0.000, 0.500, 0.000), Mn at (0.000, 0.000, 0.500), Ge at (0.500, 0.500, 0.500) and H at (0.000, 0.000, 0.000).

Its density of states at the Fermi level is 2.1 states/eV/f.u. The value obtained for the total DFT energy (no corrections) is -8.2697 eV per atom.



# 11
## V4PC2 (PBE)

Data for an optimized crystal structure of V4PC2.

The space group is Cmcm (No. 63) and the conventional cell measures 3.071, 9.743 and 10.128 Å, with angles of 90.00, 90.00 and 90.00 degrees. The asymmetric unit holds V at (0.000, 0.000, 0.000), V at (0.000, 0.264, 0.111), V at (0.000, 0.432, 0.750), P at (0.000, 0.112, 0.750) and C at (0.000, 0.365, 0.562).

Its density of states at the Fermi level is 4.9 states/eV/f.u. The value obtained for the total DFT energy (no corrections) is -9.2485 eV per atom. The energy of formation from the pure elements comes out at -0.63 eV per atom.